(1)
NaBr3F: relaxed, PBE.

Summary:
formation energy without anion corrections	-0.36	eV/atom
distance to the lowest polymorph of the same formula	0	meV/atom

Geometry as CIF:
```
data_NaBr3F
_space_group_name_H-M_alt 'P m -3 m'
_space_group_IT_number 221
_space_group_name_Hall '-P 4 2 3'
_cell_length_a 5.043
_cell_length_b 5.043
_cell_length_c 5.043
_cell_angle_alpha 90.00
_cell_angle_beta 90.00
_cell_angle_gamma 90.00
loop_
_atom_site_label
_atom_site_type_symbol
_atom_site_fract_x
_atom_site_fract_y
_atom_site_fract_z
_atom_site_occupancy
Na1 Na 0.000 0.000 0.000 1
Br1 Br 0.000 0.500 0.500 1
F1 F 0.500 0.500 0.500 1
```

(2)
Nb2VCuH: relaxed, PBE.

Summary:
distance to the lowest polymorph of the same formula	0	meV/atom

Geometry as CIF:
```
data_Nb2VCuH
_space_group_name_H-M_alt 'P 4/m m m'
_space_group_IT_number 123
_space_group_name_Hall '-P 4 2'
_cell_length_a 4.222
_cell_length_b 4.222
_cell_length_c 3.634
_cell_angle_alpha 90.00
_cell_angle_beta 90.00
_cell_angle_gamma 90.00
loop_
_atom_site_label
_atom_site_type_symbol
_atom_site_fract_x
_atom_site_fract_y
_atom_site_fract_z
_atom_site_occupancy
Nb1 Nb 0.000 0.500 0.000 1
V1 V 0.000 0.000 0.500 1
Cu1 Cu 0.500 0.500 0.500 1
H1 H 0.000 0.000 0.000 1
```